This record from the Alexandria database describes a relaxed structure of RbLaS2. The functional is GGA-PBE.

abc: 4.3253 4.3253 23.0495
angles: 90.00 90.00 120.00
Closest atoms and distances in Å follow each position.
Space group R-3m (No. 166, hexagonal axes)
Unique sites:
Rb  0.0000  0.0000  0.0000 (multiplicity 3)  6 S 3.41
La  0.0000  0.0000  0.5000 (multiplicity 3)  6 S 2.92
S  0.0000  0.0000  0.2324 (multiplicity 6)  3 La 2.92

## Properties
- ΔE_f (raw) (eV/atom) = -1.899
- density (Mg/m³) = 3.8